The following is a DFT calculation (PBE) of a relaxed Er4ZnPt3 crystal.

## Properties
formation enthalpy at 0 K	-25.1	kcal/mol of atoms
spin magnetization	0.0	μB/f.u.
VASP energy	-5.7966	eV/atom

a = 3.7219 Å, b = 4.4588 Å, c = 10.5921 Å
α = 90.00°, β = 90.00°, γ = 90.00°
Closest atoms and distances in Å follow each position.
Sites, in units of the cell vectors:
Er1 0.5000 0.0000 0.6382  7 Pt 2.95-3.06
Er2 0.5000 0.5000 0.3681  6 Pt 2.94-2.99, 1 Zn 3.08
Er3 0.0000 0.0000 0.1407  3 Pt 2.85-2.96, 4 Zn 2.98
Er4 0.0000 0.5000 0.8535  5 Pt 2.80-3.00, 2 Zn 3.02
Pt1 0.0000 0.0000 0.4095  7 Er 2.85-3.06, 2 Pt 2.93
Pt2 0.0000 0.5000 0.5889  7 Er 2.80-2.99, 2 Pt 2.93
Pt3 0.5000 0.0000 0.9236  2 Zn 2.76, 7 Er 2.96-3.02
Zn1 0.5000 0.5000 0.0775  2 Pt 2.76, 7 Er 2.98-3.08